## TcP2HCl (PBE)

Data for crystalline TcP2HCl at its relaxed geometry.

```
TcP2HCl
1.0
4.521 0.000 0.000
0.000 4.521 0.000
0.000 0.000 5.206
Tc P H Cl
1 2 1 1
direct
0.000 0.000 0.000
0.000 0.500 0.000
0.500 0.000 0.000
0.500 0.500 0.500
0.000 0.000 0.500
```

Values from the calculation:
Total energy (eV per cell): -22.94
Space group: P4/mmm (123)
Relative energy among the computed polymorphs (meV per atom): 0